Record 1
# BeCoOsN2

Crystalline BeCoOsN2 at its relaxed geometry (GGA-PBE, the Alexandria database).

Cell lengths 3.792, 3.792, 4.462 Å; angles 90.00, 90.00, 90.00 degrees
Space group P4/mmm (No. 123)
Symmetry-distinct sites (fractional):
Be 0.000 0.000 0.000
Co 0.500 0.500 0.000
Os 0.000 0.000 0.500
N 0.000 0.500 0.500

Summary:
energy relative to the elements, uncorrected = 1.21 eV/atom

---

Record 2
# Ni2IrAu

Crystalline Ni2IrAu at its relaxed geometry (GGA-PBE, the Alexandria database).

Cell lengths 2.732, 2.732, 7.334 Å; angles 90.00, 90.00, 90.00 degrees
Space group P4mm (No. 99)
Symmetry-distinct sites (fractional):
Ni 0.000 0.000 0.000
Ni 0.500 0.500 0.212
Ir 0.500 0.500 0.773
Au 0.000 0.000 0.475

Summary:
ΔE_f = 0.19 eV/atom
energy above the lowest structure with this stoichiometry = 117.3 meV per atom

---

Record 3
# TlOsW2

Crystalline TlOsW2 at its relaxed geometry (GGA-PBE, the Alexandria database).

Cell lengths 3.271, 4.495, 4.621 Å; angles 90.00, 90.00, 90.00 degrees
Space group Pmmm (No. 47)
Symmetry-distinct sites (fractional):
Tl 0.000 0.000 0.000
Os 0.500 0.500 0.000
W 0.000 0.500 0.500
W 0.500 0.000 0.500

Summary:
ΔE_f = 0.89 eV/atom
energy above the lowest structure with this stoichiometry = 345.2 meV per atom

---

Record 4
# Re2HgTe

Crystalline Re2HgTe at its relaxed geometry (GGA-PBE, the Alexandria database).

Cell lengths 3.026, 3.026, 8.959 Å; angles 90.00, 90.00, 90.00 degrees
Space group P4mm (No. 99)
Symmetry-distinct sites (fractional):
Re 0.000 0.000 0.000
Re 0.500 0.500 0.171
Hg 0.500 0.500 0.766
Te 0.000 0.000 0.397

Summary:
energy above the lowest structure with this stoichiometry = 77.1 meV per atom
energy relative to the elements, uncorrected = 0.44 eV/atom

---

Record 5
# ErHf2Al9

Crystalline ErHf2Al9 at its relaxed geometry (GGA-PBE, the Alexandria database).

Cell lengths 5.3340, 5.3340, 26.3249 Å; angles 90.00, 90.00, 120.00 degrees
Space group R-3m (No. 166, hexagonal axes)
Symmetry-distinct sites (fractional):
Er 0.0000 0.0000 0.0000
Hf 0.0000 0.0000 0.1451
Al 0.0000 0.0000 0.3340
Al 0.0000 0.0000 0.5000
Al 0.0057 0.5029 0.9131

Summary:
ΔE_f = -0.27 eV/atom
energy above the lowest structure with this stoichiometry = 115.1 meV per atom

---

Record 6
# ZrAlCu

Crystalline ZrAlCu at its relaxed geometry (GGA-PBE, the Alexandria database).

Cell lengths 3.725, 3.923, 14.058 Å; angles 90.00, 90.00, 90.00 degrees
Space group Imm2 (No. 44)
Symmetry-distinct sites (fractional):
Zr 0.000 0.000 0.000
Zr 0.000 0.000 0.350
Al 0.000 0.000 0.551
Al 0.000 0.500 0.681
Cu 0.000 0.000 0.798
Cu 0.000 0.500 0.174

Summary:
ΔE_f = -0.31 eV/atom

---

Record 7
# ZrSc2Sb

Crystalline ZrSc2Sb at its relaxed geometry (GGA-PBE, the Alexandria database).

Cell lengths 4.526, 4.526, 4.334 Å; angles 90.00, 90.00, 90.00 degrees
Space group P4/mmm (No. 123)
Symmetry-distinct sites (fractional):
Zr 0.000 0.000 0.000
Sc 0.000 0.500 0.500
Sb 0.500 0.500 0.000

Summary:
energy relative to the elements, uncorrected = -0.45 eV/atom

---

Record 8
# As2PW

Crystalline As2PW at its relaxed geometry (GGA-PBE, the Alexandria database).

Cell lengths 3.352, 4.788, 8.434 Å; angles 90.00, 90.00, 90.00 degrees
Space group Imm2 (No. 44)
Symmetry-distinct sites (fractional):
As 0.000 0.000 0.000
As 0.000 0.500 0.270
P 0.000 0.000 0.526
W 0.000 0.500 0.823

Summary:
ΔE_f = 0.54 eV/atom

---

Record 9
# SrIn10Ir3

Crystalline SrIn10Ir3 at its relaxed geometry (GGA-PBE, the Alexandria database).

Cell lengths 14.053, 14.053, 14.053 Å; angles 90.00, 90.00, 90.00 degrees
Space group Fm-3m (No. 225)
Symmetry-distinct sites (fractional):
Sr 0.250 0.250 0.250
In 0.000 0.169 0.169
In 0.110 0.110 0.390
Ir 0.000 0.000 0.266

Summary:
ΔE_f = -0.12 eV/atom

---

Record 10
# Cs2KBiF6

Crystalline Cs2KBiF6 at its relaxed geometry (GGA-PBE, the Alexandria database).

Cell lengths 6.874, 6.891, 11.902 Å; angles 90.00, 125.23, 90.00 degrees
Space group P2_1/c (No. 14)
Symmetry-distinct sites (fractional):
Cs 0.245 0.025 0.250
K 0.500 0.000 0.000
Bi 0.000 0.000 0.500
F 0.163 0.237 0.965
F 0.231 0.701 0.969
F 0.293 0.017 0.731

Summary:
energy above the lowest structure with this stoichiometry = 0.0 meV per atom
energy relative to the elements, uncorrected = -2.70 eV/atom

---

Record 11
# Na3CeTm2Te6

Crystalline Na3CeTm2Te6 at its relaxed geometry (GGA-PBE, the Alexandria database).

Cell lengths 7.708, 13.357, 7.972 Å; angles 90.00, 108.84, 90.00 degrees
Space group C2/m (No. 12)
Symmetry-distinct sites (fractional):
Na 0.000 0.000 0.000
Na 0.000 0.336 0.000
Ce 0.000 0.500 0.500
Tm 0.000 0.167 0.500
Te 0.233 0.000 0.733
Te 0.250 0.172 0.267

Summary:
energy relative to the elements, uncorrected = -1.27 eV/atom

---

Record 12
# TaSbRh3

Crystalline TaSbRh3 at its relaxed geometry (GGA-PBE, the Alexandria database).

Cell lengths 4.712, 4.712, 4.712 Å; angles 90.00, 90.00, 90.00 degrees
Space group Pm-3m (No. 221)
Symmetry-distinct sites (fractional):
Ta 0.000 0.000 0.000
Sb 0.500 0.500 0.500
Rh 0.000 0.500 0.500

Summary:
energy above the lowest structure with this stoichiometry = 486.5 meV per atom
energy relative to the elements, uncorrected = 1.19 eV/atom

---

Number 8 is which compound?
As2PW